NaNiPO4: relaxed, GGA+U. Values from VASP.

```
&SYSTEM
  ibrav = 0, nat = 28, ntyp = 4
/
ATOMIC_SPECIES
Na 22.99 Na.upf
Ni 58.69 Ni.upf
P 30.97 P.upf
O 16.00 O.upf
ATOMIC_POSITIONS crystal
Na 0.2227 0.2500 0.0227
Na 0.2773 0.7500 0.5227
Na 0.7227 0.2500 0.4773
Na 0.7773 0.7500 0.9773
Ni 0.0000 0.0000 0.5000
Ni 0.0000 0.5000 0.5000
Ni 0.5000 0.0000 0.0000
Ni 0.5000 0.5000 0.0000
P 0.0791 0.7500 0.0938
P 0.4209 0.2500 0.5938
P 0.5791 0.7500 0.4062
P 0.9209 0.2500 0.9062
O 0.0471 0.2500 0.7560
O 0.0715 0.7500 0.7630
O 0.1394 0.5518 0.2116
O 0.1394 0.9482 0.2116
O 0.3606 0.0518 0.7116
O 0.3606 0.4482 0.7116
O 0.4285 0.2500 0.2630
O 0.4529 0.7500 0.2560
O 0.5471 0.2500 0.7440
O 0.5715 0.7500 0.7370
O 0.6394 0.5518 0.2884
O 0.6394 0.9482 0.2884
O 0.8606 0.0518 0.7884
O 0.8606 0.4482 0.7884
O 0.9285 0.2500 0.2370
O 0.9529 0.7500 0.2440
CELL_PARAMETERS angstrom
11.3541 0.0000 0.0000
0.0000 6.4445 0.0000
0.0000 0.0000 4.6884
```

Calculated values
Calculated volume (Å³/cell): 343
Offset from the most stable computed form (eV per atom): 0.0000
SG: Pnma (62)